(1)
Below is a relaxed structure of Li6Pt, with properties calculated at the PBE level.

Results
- total DFT energy (no corrections) (eV per cell) = -57.54
- crystal system = trigonal
- density of states at the Fermi level (states/eV/cell) = 11.0
- energy of formation (eV per atom) = -0.236
- energy relative to the lowest polymorph listed for this composition (meV per atom) = 0

Unit cell a=4.4261 b=4.4261 c=19.7034 alpha=90.00 beta=90.00 gamma=120.00
Closest atoms and distances in Å follow each position.
Space group R-3m (No. 166, hexagonal axes)
Asymmetric unit:
Li (0.0000, 0.0000, 0.0836) (multiplicity 6)  7 Li 2.50-2.74
Li (0.0000, 0.0000, 0.2107) (multiplicity 6)  4 Li 2.50-2.67, 3 Pt 2.70
Li (0.0000, 0.0000, 0.3666) (multiplicity 6)  1 Pt 2.63, 6 Li 2.74-2.87
Pt (0.0000, 0.0000, 0.5000) (multiplicity 3)  8 Li 2.63-2.70

(2)
Below is a relaxed structure of BaV2CN, with properties calculated at the PBE level.

Results
- total DFT energy (no corrections) (eV per cell) = -20.67
- crystal system = tetragonal
- density of states at the Fermi level (states/eV/cell) = 5.5
- raw formation energy (eV/atom) = 3.407
- energy relative to the lowest polymorph listed for this composition (meV per atom) = 2397

Unit cell a=5.6603 b=5.6603 c=4.3521 alpha=90.00 beta=90.00 gamma=90.00
Closest atoms and distances in Å follow each position.
Space group P4/mmm (No. 123)
Asymmetric unit:
Ba (0.0000, 0.0000, 0.0000) (multiplicity 1)  2 N 2.18
V (0.0000, 0.5000, 0.0000) (multiplicity 2)  2 Ba 2.83
C (0.5000, 0.5000, 0.5000) (multiplicity 1)  8 V 3.57
N (0.0000, 0.0000, 0.5000) (multiplicity 1)  2 Ba 2.18

(3)
Below is a relaxed structure of GaGeAu5, with properties calculated at the PBE level.

Results
- total DFT energy (no corrections) (eV per cell) = -96.90
- crystal system = orthorhombic
- density of states at the Fermi level (states/eV/cell) = 9.5
- energy of formation (eV per atom) = -0.028
- energy relative to the lowest polymorph listed for this composition (meV per atom) = 0

Unit cell a=7.3662 b=5.8391 c=12.1415 alpha=90.00 beta=90.00 gamma=90.00
Closest atoms and distances in Å follow each position.
Space group Cmcm (No. 63)
Asymmetric unit:
Ga (0.0000, 0.0000, 0.0000) (multiplicity 4)  8 Au 2.68-2.86
Ge (0.0000, 0.4138, 0.2500) (multiplicity 4)  5 Au 2.56-2.64
Au (0.0000, 0.0240, 0.7500) (multiplicity 4)  1 Ge 2.56
Au (0.1969, 0.3634, 0.6034) (multiplicity 16)  1 Ge 2.64, 2 Ga 2.68-2.86, 2 Au 2.90-2.94